Density functional theory data (PBE) for a relaxed structure of Ag2SN.

Lattice parameters (Å, degrees): 4.416 4.416 4.416 60.00 60.00 60.00
Each line ends with the local moment (μB).
Atoms (fractional coordinates):
S 0.500 0.500 0.500  0.23
Ag 0.250 0.250 0.250  0.09
Ag 0.750 0.750 0.750  0.09
N 0.000 0.000 0.000  0.98

As for the offset from the most stable computed form: 0.213 eV/atom.

***

Density functional theory data (PBE) for a relaxed structure of Ag3SN.

Lattice parameters (Å, degrees): 4.380 4.380 4.380 90.00 90.00 90.00
Atoms (fractional coordinates):
S 0.500 0.500 0.500
Ag 0.000 0.500 0.000
Ag 0.000 0.000 0.500
Ag 0.500 0.000 0.000
N 0.000 0.000 0.000

As for the offset from the most stable computed form: 0.000 eV/atom.

***

Density functional theory data (PBE) for a relaxed structure of AgSN2.

Lattice parameters (Å, degrees): 6.997 3.419 10.865 80.91 85.58 60.73
Atoms (fractional coordinates):
Ag 0.000 0.500 0.500
Ag 0.500 0.000 0.500
S 0.250 0.701 0.598
S 0.750 0.299 0.402
N 0.841 0.955 0.891
N 0.159 0.045 0.109
N 0.659 0.154 0.891
N 0.341 0.846 0.109

***

Density functional theory data (PBE) for a relaxed structure of AgSN2.

Lattice parameters (Å, degrees): 6.529 6.529 6.529 25.57 25.57 25.57
Atoms (fractional coordinates):
S 0.500 0.500 0.500
Ag 0.000 0.000 0.000
N 0.886 0.886 0.886
N 0.114 0.114 0.114

***

Density functional theory data (PBE) for a relaxed structure of Ag5S4N2.

Lattice parameters (Å, degrees): 4.970 8.296 10.495 48.36 119.83 126.26
Atoms (fractional coordinates):
Ag 0.383 0.516 0.130
Ag 0.617 0.484 0.870
Ag 0.200 0.037 0.195
Ag 0.500 0.000 0.000
Ag 0.800 0.963 0.805
S 0.631 0.462 0.441
S 0.039 0.345 0.927
S 0.369 0.538 0.559
S 0.961 0.655 0.073
N 0.732 0.254 0.565
N 0.268 0.746 0.435

***

Density functional theory data (PBE) for a relaxed structure of AgSN2.

Lattice parameters (Å, degrees): 5.977 5.977 5.977 35.59 35.59 35.59
Atoms (fractional coordinates):
S 0.000 0.000 0.000
Ag 0.500 0.500 0.500
N 0.909 0.909 0.909
N 0.091 0.091 0.091

***

Number 1: ΔE_f (raw) 1173 meV per atom, VASP energy -3.3658 eV/atom. Number 2: ΔE_f (raw) 709 meV per atom, VASP energy -3.4928 eV/atom. Number 3: ΔE_f (raw) 107 meV per atom, VASP energy -5.8003 eV/atom. Number 4: ΔE_f (raw) 1199 meV per atom, VASP energy -4.7084 eV/atom. Number 5: ΔE_f (raw) 370 meV per atom, VASP energy -3.9407 eV/atom. Number 6: ΔE_f (raw) 1142 meV per atom, VASP energy -4.7655 eV/atom.